[1]
Tb2Pb3 | PBE | relaxed

Cell lengths 4.589, 7.918, 7.918 Å; angles 90.00, 90.00, 90.00 degrees
Sites, in units of the cell vectors:
Pb: 0.000 0.395 0.824
Pb: 0.000 0.176 0.395
Pb: 0.000 0.000 0.000
Pb: 0.500 0.500 0.500
Pb: 0.000 0.824 0.605
Pb: 0.000 0.605 0.176
Tb: 0.500 0.693 0.858
Tb: 0.500 0.307 0.142
Tb: 0.500 0.858 0.307
Tb: 0.500 0.142 0.693

Properties
- Total magnetization: 0.00 μB per cell
- Fermi-level density of states: 7.74 states/eV per cell
- ΔE_f: -41.61 kJ per mole of atoms
- Space group: No. 83
- ρ: 10846 kg/m3
- Final energy: -4.508 eV per atom

=====

[2]
NaCe2Bi | PBE | relaxed

Cell lengths 3.387, 3.387, 12.868 Å; angles 82.44, 82.44, 60.00 degrees
Sites, in units of the cell vectors:
Ce: 0.907 0.907 0.278
Ce: 0.093 0.093 0.722
Na: 0.000 0.000 0.000
Bi: 0.500 0.500 0.500

Properties
- Total magnetization: 2.31 μB per cell
- Fermi-level density of states: 12.10 states/eV per cell
- ΔE_f: 7.36 kJ per mole of atoms
- Space group: No. 166
- ρ: 6732 kg/m3
- Final energy: -4.191 eV per atom